Si3BW | GGA-PBEsol | optimized geometry

The structure belongs to space group Pm-3m (No. 221); the cell edges are 4.702, 4.702 and 4.702 Å and the angles 90.00°, 90.00° and 90.00°. The inequivalent atoms are Si at (0.000, 0.000, 0.500), B at (0.500, 0.500, 0.500) and W at (0.000, 0.000, 0.000).

The total magnetic moment is 0.00 μB/cell. For the energy above the most stable polymorph in this dataset, the calculation gives 515.1 meV per atom. Its density is 4454 kg/m³. For the density of states at the Fermi level, the calculation gives 0.5550 states/eV per atom. The uncorrected formation energy comes out at 1.46 eV/atom. The total energy is -30.767 eV per cell.